# 1
LiPt | Alexandria | PBE-GGA | relaxed; symmetry = P-3m1 (164); E = -4.301 eV/atom; N(E_F) = 0.7 states/eV/f.u.
1.0
-1.460 0.581 2.246
-0.212 -2.469 -1.171
7.047 -3.167 5.401
Li Pt
2 2
Direct
0.000 0.000 0.977
0.333 0.667 0.273
0.000 0.000 0.488
0.333 0.667 0.762



# 2
LiPt3 | Alexandria | PBE-GGA | relaxed; symmetry = Pm-3m (221); E = -3.983 eV/atom; N(E_F) = 4.6 states/eV/f.u.
1.0
4.220 0.000 0.000
0.000 4.220 0.000
0.000 0.000 4.220
Li Pt
1 3
Direct
0.000 0.000 0.000
0.000 0.000 0.500
0.000 0.500 0.000
0.500 0.000 0.000



# 3
LiPt | Alexandria | PBE-GGA | relaxed; symmetry = Pnma (62); E = -4.449 eV/atom; N(E_F) = 0.8 states/eV/f.u.
1.0
6.298 0.000 0.000
0.000 5.194 0.000
0.000 0.000 7.103
Li Pt
8 8
Direct
0.138 0.250 0.994
0.638 0.250 0.506
0.862 0.750 0.006
0.362 0.750 0.494
0.809 0.250 0.809
0.309 0.250 0.691
0.191 0.750 0.191
0.691 0.750 0.309
0.000 0.000 0.500
0.500 0.500 0.000
0.000 0.500 0.500
0.500 0.000 0.000
0.811 0.250 0.194
0.311 0.250 0.306
0.189 0.750 0.806
0.689 0.750 0.694



# 4
Li2Pt | Alexandria | PBE-GGA | relaxed; symmetry = C2/m (12); ΔE to the lowest computed polymorph = 0.170 eV per atom; N(E_F) = 2.0 states/eV/f.u.
1.0
1.387 5.173 0.076
-1.387 5.173 0.076
0.000 1.930 6.561
Li Pt
4 2
Direct
0.967 0.967 0.767
0.699 0.699 0.823
0.301 0.301 0.177
0.033 0.033 0.233
0.362 0.362 0.517
0.638 0.638 0.483